DyTaSe4 after structural relaxation, computed with PBE.

Structure (POSCAR):
```
DyTaSe4
1.0
6.594 -0.441 0.000
-1.611 6.463 0.000
-2.491 -3.011 8.842
Se Ta Dy
8 2 2
Direct
0.050 0.823 0.087
0.286 0.074 0.657
0.714 0.926 0.343
0.950 0.177 0.913
0.537 0.264 0.087
0.129 0.417 0.343
0.463 0.736 0.913
0.871 0.583 0.657
0.830 0.080 0.160
0.170 0.920 0.840
0.679 0.429 0.859
0.321 0.571 0.141
```

Values from the calculation:
As for the total magnetic moment: 0.0000 μB/atom. The value obtained for the calculated total energy is -6.166 eV/atom. The symmetry is C2/c, No. 15.